Computed, not measured: SrMo2Se at its PBEsol-relaxed geometry at the meta-GGA SCAN level of DFT.

Unit cell a=4.716 b=4.716 c=4.716 alpha=60.00 beta=60.00 gamma=60.00
Positions (direct):
Mo 0.000 0.000 0.000
Mo 0.750 0.750 0.750
Se 0.500 0.500 0.500
Sr 0.250 0.250 0.250

Summary:
space group = F-43m (216)



Computed, not measured: Sr2TaAlO6 at its PBEsol-relaxed geometry at the meta-GGA SCAN level of DFT.

Unit cell a=3.923 b=3.923 c=7.795 alpha=90.00 beta=90.00 gamma=90.00
Positions (direct):
Sr 0.000 0.000 0.716
Sr 0.000 0.000 0.284
Al 0.500 0.500 0.500
O 0.500 0.000 0.000
O 0.500 0.000 0.500
O 0.000 0.500 0.000
O 0.000 0.500 0.500
O 0.500 0.500 0.749
O 0.500 0.500 0.251
Ta 0.500 0.500 0.000

Summary:
space group = P4/mmm (123)



Computed, not measured: CaCd2Au2 at its PBEsol-relaxed geometry at the meta-GGA SCAN level of DFT.

Unit cell a=3.630 b=7.625 c=7.625 alpha=90.00 beta=90.00 gamma=90.00
Positions (direct):
Ca 0.000 0.000 0.000
Ca 0.000 0.500 0.500
Au 0.000 0.368 0.868
Au 0.000 0.868 0.632
Au 0.000 0.632 0.132
Au 0.000 0.132 0.368
Cd 0.500 0.164 0.664
Cd 0.500 0.664 0.836
Cd 0.500 0.836 0.336
Cd 0.500 0.336 0.164

Summary:
formation enthalpy at 0 K = -0.451 eV/atom
excess energy over the best structure of this formula in the dataset = 133 meV/atom
space group = P4/mbm (127)



Computed, not measured: FeRuPt2 at its PBEsol-relaxed geometry at the meta-GGA SCAN level of DFT.

Unit cell a=3.823 b=3.823 c=4.621 alpha=114.44 beta=114.44 gamma=90.00
Last column: magnetic moment on the atom in μB.
Positions (direct):
Fe 0.250 0.750 0.500  3.22
Pt 0.500 0.500 0.000  0.09
Pt 0.750 0.250 0.500  -0.04
Ru 0.000 0.000 0.000  -0.05

Summary:
formation enthalpy at 0 K = -0.159 eV/atom
space group = I-4m2 (119)



Computed, not measured: As2Au at its PBEsol-relaxed geometry at the meta-GGA SCAN level of DFT.

Unit cell a=3.642 b=7.454 c=7.454 alpha=120.00 beta=90.00 gamma=90.00
Positions (direct):
As 0.000 0.720 0.720
As 0.000 0.000 0.280
As 0.000 0.280 0.000
As 0.500 0.471 0.471
As 0.500 0.000 0.529
As 0.500 0.529 0.000
Au 0.000 0.667 0.333
Au 0.000 0.333 0.667
Au 0.500 0.000 0.000

Summary:
formation enthalpy at 0 K = 0.200 eV/atom
space group = P-62m (189)



Computed, not measured: BaAg2Rh at its PBEsol-relaxed geometry at the meta-GGA SCAN level of DFT.

Unit cell a=3.834 b=4.081 c=6.090 alpha=90.00 beta=107.04 gamma=90.00
Positions (direct):
Ag 0.204 0.000 0.051
Ag 0.737 0.500 0.114
Ba 0.489 0.000 0.580
Rh 0.070 0.500 0.755

Summary:
formation enthalpy at 0 K = 0.149 eV/atom
excess energy over the best structure of this formula in the dataset = 0 meV/atom
space group = Pm (6)



Computed, not measured: BeCdTc at its PBEsol-relaxed geometry at the meta-GGA SCAN level of DFT.

Unit cell a=2.753 b=2.753 c=6.522 alpha=90.00 beta=90.00 gamma=120.00
Positions (direct):
Be 0.000 0.000 0.022
Tc 0.667 0.333 0.300
Cd 0.333 0.667 0.677

Summary:
formation enthalpy at 0 K = 0.355 eV/atom
excess energy over the best structure of this formula in the dataset = 55 meV/atom
space group = P3m1 (156)



Computed, not measured: TaRhPb at its PBEsol-relaxed geometry at the meta-GGA SCAN level of DFT.

Unit cell a=3.105 b=3.105 c=6.793 alpha=90.00 beta=90.00 gamma=120.00
Positions (direct):
Pb 0.000 0.000 0.992
Rh 0.333 0.667 0.641
Ta 0.667 0.333 0.367

Summary:
formation enthalpy at 0 K = 0.158 eV/atom
space group = P3m1 (156)



Computed, not measured: MoOsO2 at its PBEsol-relaxed geometry at the meta-GGA SCAN level of DFT.

Unit cell a=3.891 b=3.891 c=3.891 alpha=60.00 beta=60.00 gamma=60.00
Positions (direct):
Mo 0.000 0.000 0.000
Os 0.500 0.500 0.500
O 0.250 0.250 0.250
O 0.750 0.750 0.750

Summary:
space group = Fm-3m (225)



Computed, not measured: CsLaTa6Br18 at its PBEsol-relaxed geometry at the meta-GGA SCAN level of DFT.

Unit cell a=9.744 b=9.744 c=18.142 alpha=90.00 beta=90.00 gamma=120.00
Positions (direct):
Cs 0.667 0.333 0.250
Cs 0.333 0.667 0.750
La 0.333 0.667 0.250
La 0.667 0.333 0.750
Ta 0.153 0.185 0.435
Ta 0.847 0.815 0.565
Ta 0.032 0.847 0.435
Ta 0.153 0.968 0.065
Ta 0.968 0.153 0.565
Ta 0.847 0.032 0.935
Ta 0.815 0.968 0.435
Ta 0.032 0.185 0.065
Ta 0.185 0.032 0.565
Ta 0.968 0.815 0.935
Ta 0.815 0.847 0.065
Ta 0.185 0.153 0.935
Br 0.370 0.439 0.342
Br 0.630 0.561 0.658
Br 0.069 0.630 0.342
Br 0.370 0.931 0.158
Br 0.931 0.370 0.658
Br 0.630 0.069 0.842
Br 0.561 0.931 0.342
Br 0.069 0.439 0.158
Br 0.439 0.069 0.658
Br 0.931 0.561 0.842
Br 0.561 0.630 0.158
Br 0.439 0.370 0.842
Br 0.961 0.191 0.339
Br 0.039 0.809 0.661
Br 0.230 0.039 0.339
Br 0.961 0.770 0.161
Br 0.770 0.961 0.661
Br 0.039 0.230 0.839
Br 0.809 0.770 0.339
Br 0.230 0.191 0.161
Br 0.191 0.230 0.661
Br 0.770 0.809 0.839
Br 0.809 0.039 0.161
Br 0.191 0.961 0.839
Br 0.730 0.150 0.500
Br 0.270 0.850 0.500
Br 0.420 0.270 0.500
Br 0.730 0.580 0.000
Br 0.580 0.730 0.500
Br 0.270 0.420 0.000
Br 0.850 0.580 0.500
Br 0.420 0.150 0.000
Br 0.150 0.420 0.500
Br 0.580 0.850 0.000
Br 0.850 0.270 0.000
Br 0.150 0.730 0.000

Summary:
space group = P-31c (163)



Computed, not measured: PPtSe2 at its PBEsol-relaxed geometry at the meta-GGA SCAN level of DFT.

Unit cell a=3.629 b=3.951 c=6.104 alpha=108.88 beta=107.29 gamma=90.00
Positions (direct):
P 0.500 0.000 0.000
Pt 0.000 0.500 0.000
Se 0.661 0.661 0.322
Se 0.339 0.339 0.678

Summary:
space group = Immm (71)



Computed, not measured: CsNa2Ga2 at its PBEsol-relaxed geometry at the meta-GGA SCAN level of DFT.

Unit cell a=5.643 b=5.643 c=6.491 alpha=115.76 beta=115.76 gamma=90.00
Last column: magnetic moment on the atom in μB.
Positions (direct):
Cs 0.000 0.000 0.000  0.01
Na 0.250 0.750 0.500  0.00
Na 0.750 0.250 0.500  0.00
Ga 0.382 0.382 0.764  0.08
Ga 0.618 0.618 0.236  0.08

Summary:
formation enthalpy at 0 K = 0.049 eV/atom
space group = I4/mmm (139)



Computed, not measured: FeCoCl2 at its PBEsol-relaxed geometry at the meta-GGA SCAN level of DFT.

Unit cell a=2.967 b=3.672 c=5.579 alpha=90.00 beta=90.00 gamma=90.00
Last column: magnetic moment on the atom in μB.
Positions (direct):
Co 0.500 0.500 0.000  1.83
Fe 0.000 0.500 0.500  2.99
Cl 0.000 0.000 0.000  0.05
Cl 0.500 0.000 0.500  0.07

Summary:
space group = Pmmm (47)



Computed, not measured: Zr2TlCuN at its PBEsol-relaxed geometry at the meta-GGA SCAN level of DFT.

Unit cell a=4.041 b=4.469 c=4.469 alpha=90.00 beta=90.00 gamma=90.00
Positions (direct):
Tl 0.500 0.500 0.500
Cu 0.500 0.000 0.000
Zr 0.000 0.000 0.500
Zr 0.000 0.500 0.000
N 0.000 0.000 0.000

Summary:
space group = P4/mmm (123)



Computed, not measured: In2TeIr at its PBEsol-relaxed geometry at the meta-GGA SCAN level of DFT.

Unit cell a=4.385 b=4.385 c=5.277 alpha=114.55 beta=114.55 gamma=90.00
Positions (direct):
In 0.750 0.250 0.500
In 0.250 0.750 0.500
Ir 0.500 0.500 0.000
Te 0.000 0.000 0.000

Summary:
space group = I4/mmm (139)



Computed, not measured: Y3Os at its PBEsol-relaxed geometry at the meta-GGA SCAN level of DFT.

Unit cell a=6.249 b=7.318 c=8.949 alpha=90.00 beta=90.00 gamma=90.00
Positions (direct):
Os 0.540 0.117 0.750
Os 0.040 0.383 0.250
Os 0.960 0.617 0.750
Os 0.460 0.883 0.250
Y 0.872 0.040 0.250
Y 0.333 0.175 0.063
Y 0.333 0.175 0.437
Y 0.833 0.325 0.563
Y 0.833 0.325 0.937
Y 0.372 0.460 0.750
Y 0.628 0.540 0.250
Y 0.167 0.675 0.063
Y 0.167 0.675 0.437
Y 0.667 0.825 0.563
Y 0.667 0.825 0.937
Y 0.128 0.960 0.750

Summary:
formation enthalpy at 0 K = -0.341 eV/atom
space group = Pnma (62)



Computed, not measured: La2Cu at its PBEsol-relaxed geometry at the meta-GGA SCAN level of DFT.

Unit cell a=4.728 b=7.657 c=7.657 alpha=120.00 beta=90.00 gamma=90.00
Positions (direct):
Cu 0.000 0.667 0.333
Cu 0.000 0.333 0.667
Cu 0.500 0.000 0.000
La 0.000 0.725 0.725
La 0.000 0.000 0.275
La 0.000 0.275 0.000
La 0.500 0.397 0.397
La 0.500 0.000 0.603
La 0.500 0.603 0.000

Summary:
formation enthalpy at 0 K = -0.114 eV/atom
space group = P-62m (189)



Computed, not measured: Sc2ReMo at its PBEsol-relaxed geometry at the meta-GGA SCAN level of DFT.

Unit cell a=3.166 b=3.166 c=6.832 alpha=90.00 beta=90.00 gamma=90.00
Positions (direct):
Mo 0.500 0.500 0.000
Re 0.500 0.500 0.500
Sc 0.000 0.000 0.737
Sc 0.000 0.000 0.263

Summary:
formation enthalpy at 0 K = 0.277 eV/atom
excess energy over the best structure of this formula in the dataset = 395 meV/atom
space group = P4/mmm (123)



Computed, not measured: Ba2ReSi at its PBEsol-relaxed geometry at the meta-GGA SCAN level of DFT.

Unit cell a=5.410 b=5.410 c=5.410 alpha=60.00 beta=60.00 gamma=60.00
Last column: magnetic moment on the atom in μB.
Positions (direct):
Ba 0.250 0.250 0.250  0.03
Ba 0.750 0.750 0.750  0.03
Re 0.000 0.000 0.000  1.81
Si 0.500 0.500 0.500  0.02

Summary:
space group = Fm-3m (225)



Computed, not measured: In2SiOs at its PBEsol-relaxed geometry at the meta-GGA SCAN level of DFT.

Unit cell a=3.266 b=4.001 c=5.322 alpha=90.00 beta=90.01 gamma=90.00
Positions (direct):
In 0.000 0.000 0.754
In 0.000 0.000 0.246
Os 0.500 0.500 0.000
Si 0.500 0.500 0.500

Summary:
space group = Pmmm (47)



Computed, not measured: ReSiAsSe2 at its PBEsol-relaxed geometry at the meta-GGA SCAN level of DFT.

Unit cell a=4.546 b=4.565 c=4.565 alpha=90.00 beta=90.00 gamma=90.00
Last column: magnetic moment on the atom in μB.
Positions (direct):
Re 0.500 0.500 0.500  2.08
As 0.500 0.000 0.000  -0.13
Si 0.000 0.000 0.000  -0.02
Se 0.000 0.000 0.500  -0.17
Se 0.000 0.500 0.000  -0.17

Summary:
space group = P4/mmm (123)



Computed, not measured: Mg3Ag2 at its PBEsol-relaxed geometry at the meta-GGA SCAN level of DFT.

Unit cell a=4.600 b=4.600 c=5.579 alpha=90.00 beta=90.00 gamma=120.00
Positions (direct):
Mg 0.000 0.000 0.000
Mg 0.333 0.667 0.354
Mg 0.667 0.333 0.646
Ag 0.333 0.667 0.856
Ag 0.667 0.333 0.144

Summary:
formation enthalpy at 0 K = -0.199 eV/atom
excess energy over the best structure of this formula in the dataset = 0 meV/atom
space group = P-3m1 (164)



Computed, not measured: La2AsRu at its PBEsol-relaxed geometry at the meta-GGA SCAN level of DFT.

Unit cell a=4.420 b=4.420 c=5.980 alpha=68.31 beta=68.31 gamma=60.00
Positions (direct):
Ru 0.553 0.553 0.340
As 0.198 0.198 0.406
La 0.978 0.978 0.066
La 0.771 0.771 0.688

Summary:
formation enthalpy at 0 K = -0.747 eV/atom
space group = R3m (160)



Computed, not measured: BaSe2Cl at its PBEsol-relaxed geometry at the meta-GGA SCAN level of DFT.

Unit cell a=4.150 b=4.150 c=5.931 alpha=90.00 beta=90.00 gamma=90.00
Positions (direct):
Ba 0.500 0.500 0.500
Se 0.000 0.500 0.000
Se 0.500 0.000 0.000
Cl 0.000 0.000 0.500

Summary:
space group = P4/mmm (123)



Computed, not measured: BeNi2Ru at its PBEsol-relaxed geometry at the meta-GGA SCAN level of DFT.

Unit cell a=3.601 b=4.148 c=3.601 alpha=64.27 beta=90.00 gamma=115.73
Last column: magnetic moment on the atom in μB.
Positions (direct):
Be 0.750 0.500 0.750  -0.01
Ni 0.000 0.000 0.000  0.45
Ni 0.250 0.500 0.250  0.78
Ru 0.500 0.000 0.500  0.91

Summary:
formation enthalpy at 0 K = -0.056 eV/atom
space group = I-4m2 (119)



Computed, not measured: MnSi at its PBEsol-relaxed geometry at the meta-GGA SCAN level of DFT.

Unit cell a=2.603 b=2.603 c=7.834 alpha=90.00 beta=90.00 gamma=120.00
Positions (direct):
Mn 0.333 0.667 0.115
Mn 0.667 0.333 0.885
Si 0.333 0.667 0.643
Si 0.667 0.333 0.357

Summary:
space group = P-3m1 (164)



What did we get for total energy? Answer: -27.35 -18.95 -42.21 -48.49 -36.31 -33.87 -22.92 -58.55 -29.26 -33.19 -30.10 -15.74 -12.82 -32.31 -43.38 -39.19 -33.92 -33.34 -38.94 -36.63 -26.89 -15.73 -36.05 -23.37 -17.94 -13.90 eV per atom, in the order shown.